Record 1
{
  "formula": "La7Tb12Ho",
  "functional": "GGA-PBE",
  "state": "optimized geometry",
  "spacegroup": "No. 148",
  "dft_energy_ev_per_cell": -90.26,
  "cell": [[8.5571, 1.2931, 1.9410], [-1.1373, 8.5792, 1.9410], [-1.1373, -1.5132, 8.6649]],
  "species": ["Tb", "Tb", "Tb", "Tb", "Tb", "Tb", "Tb", "Tb", "Tb", "Tb", "Tb", "Tb", "La", "La", "La", "La", "La", "La", "La", "Ho"],
  "frac_coords": [[0.1353, 0.4976, 0.6172], [0.7274, 0.8567, 0.2500], [0.1433, 0.7500, 0.2726], [0.8567, 0.2500, 0.7274], [0.5024, 0.3828, 0.8647], [0.7500, 0.2726, 0.1433], [0.3828, 0.8647, 0.5024], [0.2726, 0.1433, 0.7500], [0.4976, 0.6172, 0.1353], [0.6172, 0.1353, 0.4976], [0.2500, 0.7274, 0.8567], [0.8647, 0.5024, 0.3828], [0.1610, 0.3960, 0.0856], [0.6040, 0.9144, 0.8390], [0.3960, 0.0856, 0.1610], [0.8390, 0.6040, 0.9144], [0.5000, 0.5000, 0.5000], [0.0856, 0.1610, 0.3960], [0.9144, 0.8390, 0.6040], [0.0000, 0.0000, 0.0000]]
}

---

Record 2
{
  "formula": "LaTb4Ho7",
  "functional": "GGA-PBE",
  "state": "optimized geometry",
  "spacegroup": "No. 2",
  "dft_energy_ev_per_cell": -55.45,
  "cell": [[-3.9836, -5.5819, -2.0992], [4.6657, -1.9828, -3.5907], [0.6351, -10.8888, 3.2464]],
  "species": ["Ho", "Ho", "Ho", "Ho", "Ho", "Ho", "Ho", "Tb", "Tb", "Tb", "Tb", "La"],
  "frac_coords": [[0.9159, 0.7211, 0.3355], [0.3350, 0.7775, 0.6646], [0.2512, 0.5005, 0.0000], [0.0841, 0.2789, 0.6645], [0.6650, 0.2225, 0.3354], [0.7488, 0.4995, 0.0000], [0.5000, 0.0000, 0.0000], [0.4132, 0.7211, 0.3360], [0.5868, 0.2789, 0.6640], [0.1664, 0.2211, 0.3340], [0.8336, 0.7789, 0.6660], [0.0000, 0.0000, 0.0000]]
}

---

Record 3
{
  "formula": "La2Tb3Ho",
  "functional": "GGA-PBE",
  "state": "optimized geometry",
  "spacegroup": "No. 58",
  "dft_energy_ev_per_cell": -55.76,
  "cell": [[5.7166, 0.0000, 0.0000], [0.0000, 9.8755, 0.0000], [0.0000, 0.0000, 7.1266]],
  "species": ["Tb", "Tb", "Tb", "Tb", "Tb", "Tb", "La", "La", "La", "La", "Ho", "Ho"],
  "frac_coords": [[0.5000, 0.8333, 0.7503], [0.0000, 0.3333, 0.7497], [0.5000, 0.5000, 0.5000], [0.0000, 0.6667, 0.2503], [0.5000, 0.1667, 0.2497], [0.0000, 0.0000, 0.0000], [0.5000, 0.8324, 0.2507], [0.0000, 0.6676, 0.7507], [0.0000, 0.3324, 0.2493], [0.5000, 0.1676, 0.7493], [0.5000, 0.5000, 0.0000], [0.0000, 0.0000, 0.5000]]
}